#i
Computed, not measured: MgTePtPbO after structural relaxation at the PBE level of DFT.

Properties
* space group: Cm (8)
* density: 8.402 g cm⁻³

```
MgTePtPbO
1.0
2.951 -1.721 0.000
2.951 1.721 0.000
-1.968 0.000 11.092
Mg Te Pt Pb O
1 1 1 1 1
direct
0.000 0.000 0.000
0.893 0.893 0.683
0.505 0.505 0.522
0.768 0.768 0.317
0.666 0.666 0.003
```

---

#ii
Computed, not measured: MgTePtPbO after structural relaxation at the PBE level of DFT.

Properties
* space group: P1 (1)
* density: 8.690 g cm⁻³

```
MgTePtPbO
1.0
3.506 0.000 0.000
-0.001 4.247 0.000
-0.318 -2.120 7.318
Mg Te Pt Pb O
1 1 1 1 1
direct
0.000 0.000 0.000
0.440 0.649 0.295
0.955 0.183 0.364
0.472 0.347 0.692
0.489 0.938 0.874
```

---

We find #i to be the most stable, with the next structure 2.2 kJ/mol of atoms higher.

---

#i
Computed, not measured: MgPd3O after structural relaxation at the PBE level of DFT.

Properties
* space group: Pm-3m (221)
* density: 5.923 g cm⁻³

```
MgPd3O
1.0
4.654 0.000 0.000
0.000 4.654 0.000
0.000 0.000 4.654
Mg Pd O
1 3 1
direct
0.000 0.000 0.000
0.000 0.000 0.500
0.000 0.500 0.000
0.500 0.000 0.000
0.500 0.500 0.500
```

---

#ii
Computed, not measured: MgPd3O after structural relaxation at the PBE level of DFT.

Properties
* space group: Pm-3m (221)
* density: 7.836 g cm⁻³

```
MgPd3O
1.0
4.240 0.000 0.000
0.000 4.240 0.000
0.000 0.000 4.240
Mg Pd O
1 3 1
direct
0.000 0.000 0.000
0.000 0.500 0.500
0.500 0.000 0.500
0.500 0.500 0.000
0.500 0.500 0.500
```

---

We find #ii to be the most stable, with the next structure 139.1 kJ/mol of atoms higher.